[1]
Density functional theory data (PBE-GGA) for a relaxed structure of Ca2TeP. Values from VASP.

## Properties
**Magnetic moment**: 0.23 Bohr magnetons per cell
**Total DFT energy (no corrections)**: -16.91 eV per cell
**Energy relative to the elements, uncorrected**: -1.088 eV per atom

Geometry as Quantum ESPRESSO input:
```
&SYSTEM
  ibrav = 0, nat = 4, ntyp = 3
/
ATOMIC_SPECIES
Ca 40.08 Ca.upf
P 30.97 P.upf
Te 127.60 Te.upf
CELL_PARAMETERS angstrom
4.324 0.000 0.000
0.000 4.362 0.000
0.000 0.000 6.158
ATOMIC_POSITIONS crystal
Ca 0.000 0.000 0.875
Ca 0.500 0.500 0.375
P 0.000 0.000 0.375
Te 0.500 0.500 0.875
```

[2]
Density functional theory data (PBE-GGA) for a relaxed structure of Ca2TeP. Values from VASP.

## Properties
**Magnetic moment**: 0.00 Bohr magnetons per cell
**Total DFT energy (no corrections)**: -13.84 eV per cell
**Energy relative to the elements, uncorrected**: -0.322 eV per atom

Geometry as Quantum ESPRESSO input:
```
&SYSTEM
  ibrav = 0, nat = 4, ntyp = 3
/
ATOMIC_SPECIES
Ca 40.08 Ca.upf
P 30.97 P.upf
Te 127.60 Te.upf
CELL_PARAMETERS angstrom
5.253 0.000 0.000
2.626 4.549 0.000
2.626 1.516 4.289
ATOMIC_POSITIONS crystal
Ca 0.000 0.000 0.000
Ca 0.250 0.250 0.250
P 0.500 0.500 0.500
Te 0.750 0.750 0.750
```

[3]
Density functional theory data (PBE-GGA) for a relaxed structure of Ca2TeP. Values from VASP.

## Properties
**Magnetic moment**: 0.00 Bohr magnetons per cell
**Total DFT energy (no corrections)**: -33.04 eV per cell
**Energy relative to the elements, uncorrected**: -0.991 eV per atom

Geometry as Quantum ESPRESSO input:
```
&SYSTEM
  ibrav = 0, nat = 8, ntyp = 3
/
ATOMIC_SPECIES
P 30.97 P.upf
Ca 40.08 Ca.upf
Te 127.60 Te.upf
CELL_PARAMETERS angstrom
7.981 0.000 0.000
0.000 7.981 0.000
3.990 3.990 3.590
ATOMIC_POSITIONS crystal
P 0.500 0.500 0.000
P 0.250 0.750 0.500
Ca 0.589 0.125 0.250
Ca 0.161 0.625 0.250
Ca 0.375 0.411 0.750
Ca 0.875 0.839 0.750
Te 0.000 0.000 0.000
Te 0.750 0.250 0.500
```